# ZrPbSe2 PBE relaxed
# - Space-group type: R-3m
# - Electronic total energy: -4.99 eV/atom
data_ZrPbSe2
_symmetry_space_group_name_H-M 'P 1'
_symmetry_Int_Tables_number 1
_symmetry_space_group_name_Hall 'P 1'
_cell_length_a 9.097
_cell_length_b 9.097
_cell_length_c 9.097
_cell_angle_alpha 25.83
_cell_angle_beta 25.83
_cell_angle_gamma 25.83
loop_
_atom_site_label
_atom_site_type_symbol
_atom_site_fract_x
_atom_site_fract_y
_atom_site_fract_z
_atom_site_occupancy
Pb1 Pb 0.500 0.500 0.500 1
Se1 Se 0.904 0.904 0.904 1
Se2 Se 0.096 0.096 0.096 1
Zr1 Zr 0.000 0.000 0.000 1


# ZrPbSe2 PBE relaxed
# - Space-group type: C2/c
# - Electronic total energy: -5.55 eV/atom
data_ZrPbSe2
_symmetry_space_group_name_H-M 'P 1'
_symmetry_Int_Tables_number 1
_symmetry_space_group_name_Hall 'P 1'
_cell_length_a 14.434
_cell_length_b 8.293
_cell_length_c 8.293
_cell_angle_alpha 93.39
_cell_angle_beta 109.76
_cell_angle_gamma 70.24
loop_
_atom_site_label
_atom_site_type_symbol
_atom_site_fract_x
_atom_site_fract_y
_atom_site_fract_z
_atom_site_occupancy
Pb1 Pb 0.407 0.372 0.130 1
Pb2 Pb 0.093 0.630 0.872 1
Pb3 Pb 0.593 0.628 0.870 1
Pb4 Pb 0.907 0.370 0.128 1
Pb5 Pb 0.337 0.043 0.178 1
Pb6 Pb 0.163 0.678 0.543 1
Pb7 Pb 0.663 0.957 0.822 1
Pb8 Pb 0.837 0.322 0.457 1
Se1 Se 0.898 0.825 0.536 1
Se2 Se 0.602 0.036 0.325 1
Se3 Se 0.102 0.175 0.464 1
Se4 Se 0.398 0.964 0.675 1
Se5 Se 0.647 0.345 0.157 1
Se6 Se 0.853 0.657 0.845 1
Se7 Se 0.353 0.655 0.843 1
Se8 Se 0.147 0.343 0.155 1
Se9 Se 0.544 0.669 0.445 1
Se10 Se 0.956 0.945 0.169 1
Se11 Se 0.456 0.331 0.555 1
Se12 Se 0.044 0.055 0.831 1
Se13 Se 0.750 0.301 0.801 1
Se14 Se 0.250 0.699 0.199 1
Se15 Se 0.750 0.692 0.192 1
Se16 Se 0.250 0.308 0.808 1
Zr1 Zr 0.128 0.024 0.175 1
Zr2 Zr 0.372 0.675 0.524 1
Zr3 Zr 0.872 0.976 0.825 1
Zr4 Zr 0.628 0.325 0.476 1
Zr5 Zr 0.271 0.262 0.488 1
Zr6 Zr 0.229 0.988 0.762 1
Zr7 Zr 0.729 0.738 0.512 1
Zr8 Zr 0.771 0.012 0.238 1